# 1
## NaP2SO (PBE-GGA)

Data for a relaxed NaP2SO crystal.

Results
- Fermi-level density of states (states/eV/f.u.) = 5.5
- final energy (eV/atom) = -2.4144
- formation energy (no corrections) (meV/atom) = 1830
- space-group type = P4/mmm

Lattice parameters (Å, degrees): 4.9042 4.9042 4.8060 90.00 90.00 90.00
Closest atoms and distances in Å follow each position.
Positions (direct):
Na (0.0000, 0.0000, 0.0000)  2 S 2.40, 4 P 2.45
P (0.0000, 0.5000, 0.0000)  2 Na 2.45
P (0.5000, 0.0000, 0.0000)  2 Na 2.45
S (0.0000, 0.0000, 0.5000)  2 Na 2.40
O (0.5000, 0.5000, 0.5000)  8 P 3.43, 4 S 3.47



# 2
## NaPSO2 (PBE-GGA)

Data for a relaxed NaPSO2 crystal.

Results
- Fermi-level density of states (states/eV/f.u.) = 2.9
- final energy (eV/atom) = -4.0233
- formation energy (no corrections) (meV/atom) = 131
- space-group type = P4/mmm

Lattice parameters (Å, degrees): 3.8481 3.8481 4.6070 90.00 90.00 90.00
Closest atoms and distances in Å follow each position.
Positions (direct):
Na (0.0000, 0.0000, 0.0000)  4 P 2.72, 8 O 3.00
P (0.5000, 0.5000, 0.0000)  2 S 2.30
S (0.5000, 0.5000, 0.5000)  4 O 1.92
O (0.0000, 0.5000, 0.5000)  2 S 1.92
O (0.5000, 0.0000, 0.5000)  2 S 1.92



# 3
## NaP2SO (PBE-GGA)

Data for a relaxed NaP2SO crystal.

Results
- Fermi-level density of states (states/eV/f.u.) = 2.2
- final energy (eV/atom) = -3.9187
- formation energy (no corrections) (meV/atom) = 326
- space-group type = P4/mmm

Lattice parameters (Å, degrees): 3.9403 3.9403 5.6726 90.00 90.00 90.00
Closest atoms and distances in Å follow each position.
Positions (direct):
Na (0.0000, 0.0000, 0.0000)  4 S 2.79
P (0.0000, 0.5000, 0.5000)  2 O 1.97
P (0.5000, 0.0000, 0.5000)  2 O 1.97
S (0.5000, 0.5000, 0.0000)  4 Na 2.79, 2 O 2.84
O (0.5000, 0.5000, 0.5000)  4 P 1.97



# 4
## NaSbP2O8 (PBE-GGA)

Data for a relaxed NaSbP2O8 crystal.

Results
- Fermi-level density of states (states/eV/f.u.) = 0.0
- final energy (eV/atom) = -6.6075
- formation energy (no corrections) (meV/atom) = -1947
- space-group type = C2/m

Lattice parameters (Å, degrees): 4.8558 4.8558 7.6462 91.15 91.15 65.63
Closest atoms and distances in Å follow each position.
Positions (direct):
Na (0.0000, 0.0000, 0.0000)  2 O 2.32
Sb (0.0000, 0.0000, 0.5000)  6 O 1.98-2.01
P (0.3481, 0.3481, 0.2873)  4 O 1.48-1.59
P (0.6519, 0.6519, 0.7127)  4 O 1.48-1.59
O (0.2230, 0.7050, 0.3106)  1 P 1.59
O (0.2372, 0.2372, 0.4524)  1 P 1.57
O (0.2665, 0.2665, 0.1123)  1 P 1.48
O (0.2950, 0.7770, 0.6894)  1 P 1.59
O (0.7050, 0.2230, 0.3106)  1 P 1.59
O (0.7335, 0.7335, 0.8877)  1 P 1.48
O (0.7628, 0.7628, 0.5476)  1 P 1.57
O (0.7770, 0.2950, 0.6894)  1 P 1.59



# 5
## Na3SbP2O9 (PBE-GGA)

Data for a relaxed Na3SbP2O9 crystal.

Results
- Fermi-level density of states (states/eV/f.u.) = 0.0
- final energy (eV/atom) = -6.2873
- formation energy (no corrections) (meV/atom) = -2052
- space-group type = P2_12_12_1

Lattice parameters (Å, degrees): 7.0824 9.4010 12.5861 90.00 90.00 90.00
Closest atoms and distances in Å follow each position.
Positions (direct):
Na (0.1241, 0.1045, 0.1602)  3 O 2.30-2.47
Na (0.1805, 0.2567, 0.7583)  4 O 2.34-2.60
Na (0.2440, 0.5856, 0.5167)  4 O 2.23-2.47
Na (0.2560, 0.4144, 0.0167)  4 O 2.23-2.47
Na (0.3195, 0.7433, 0.2583)  4 O 2.34-2.60
Na (0.3759, 0.8955, 0.6602)  3 O 2.30-2.47
Na (0.6241, 0.3955, 0.8398)  3 O 2.30-2.47
Na (0.6805, 0.2433, 0.2417)  4 O 2.34-2.60
Na (0.7440, 0.9144, 0.4833)  4 O 2.23-2.47
Na (0.7560, 0.0856, 0.9833)  4 O 2.23-2.47
Na (0.8195, 0.7567, 0.7417)  4 O 2.34-2.60
Na (0.8759, 0.6045, 0.3398)  3 O 2.30-2.47
Sb (0.0215, 0.7463, 0.0040)  6 O 1.98-2.03
Sb (0.4785, 0.2537, 0.5040)  6 O 1.98-2.03
Sb (0.5215, 0.7537, 0.9960)  6 O 1.98-2.03
Sb (0.9785, 0.2463, 0.4960)  6 O 1.98-2.03
P (0.2280, 0.3741, 0.2993)  4 O 1.50-1.61
P (0.2367, 0.9691, 0.4230)  4 O 1.51-1.62
P (0.2633, 0.0309, 0.9230)  4 O 1.51-1.62
P (0.2720, 0.6259, 0.7993)  4 O 1.50-1.61
P (0.7280, 0.1259, 0.7007)  4 O 1.50-1.61
P (0.7367, 0.5309, 0.5770)  4 O 1.51-1.62
P (0.7633, 0.4691, 0.0770)  4 O 1.51-1.62
P (0.7720, 0.8741, 0.2007)  4 O 1.50-1.61
O (0.0478, 0.2885, 0.3445)  1 P 1.61
O (0.0498, 0.0410, 0.4718)  1 P 1.61
O (0.0888, 0.6964, 0.8535)  1 P 1.61
O (0.0934, 0.9539, 0.9870)  1 P 1.62
O (0.2097, 0.5295, 0.3310)  1 P 1.52
O (0.2247, 0.3060, 0.5567)  2 Sb 1.98
O (0.2413, 0.3362, 0.1835)  1 P 1.50
O (0.2414, 0.8161, 0.4603)  1 P 1.51
O (0.2468, 0.0113, 0.8044)  1 P 1.51
O (0.2532, 0.9887, 0.3044)  1 P 1.51
O (0.2586, 0.1839, 0.9603)  1 P 1.51
O (0.2587, 0.6638, 0.6835)  1 P 1.50
O (0.2753, 0.6940, 0.0567)  2 Sb 1.98
O (0.2903, 0.4705, 0.8310)  1 P 1.52
O (0.4066, 0.0461, 0.4870)  1 P 1.62
O (0.4112, 0.3036, 0.3535)  1 P 1.61
O (0.4502, 0.9590, 0.9718)  1 P 1.61
O (0.4522, 0.7115, 0.8445)  1 P 1.61
O (0.5478, 0.2115, 0.6555)  1 P 1.61
O (0.5498, 0.4590, 0.5282)  1 P 1.61
O (0.5888, 0.8036, 0.1465)  1 P 1.61
O (0.5934, 0.5461, 0.0130)  1 P 1.62
O (0.7097, 0.9705, 0.6690)  1 P 1.52
O (0.7247, 0.1940, 0.4433)  2 Sb 1.98
O (0.7413, 0.1638, 0.8165)  1 P 1.50
O (0.7414, 0.6839, 0.5397)  1 P 1.51
O (0.7468, 0.4887, 0.1956)  1 P 1.51
O (0.7532, 0.5113, 0.6956)  1 P 1.51
O (0.7586, 0.3161, 0.0397)  1 P 1.51
O (0.7587, 0.8362, 0.3165)  1 P 1.50
O (0.7753, 0.8060, 0.9433)  2 Sb 1.98
O (0.7903, 0.0295, 0.1690)  1 P 1.52
O (0.9066, 0.4539, 0.5130)  1 P 1.62
O (0.9112, 0.1964, 0.6465)  1 P 1.61
O (0.9502, 0.5410, 0.0282)  1 P 1.61
O (0.9522, 0.7885, 0.1555)  1 P 1.61



# 6
## NaSbPO6 (PBE-GGA)

Data for a relaxed NaSbPO6 crystal.

Results
- Fermi-level density of states (states/eV/f.u.) = 6.8
- final energy (eV/atom) = -6.0088
- formation energy (no corrections) (meV/atom) = -1498
- space-group type = P312

Lattice parameters (Å, degrees): 4.9793 4.9793 5.2124 90.00 90.00 120.00
Closest atoms and distances in Å follow each position.
Positions (direct):
Na (0.0000, 0.0000, 0.0000)  6 O 2.46
Sb (0.3333, 0.6667, 0.5000)  6 O 2.02
P (0.6667, 0.3333, 0.5000)  6 O 1.73
O (0.3942, 0.0435, 0.6934)  1 P 1.73
O (0.3942, 0.3507, 0.3066)  1 P 1.73
O (0.6493, 0.0435, 0.3066)  1 P 1.73
O (0.6493, 0.6058, 0.6934)  1 P 1.73
O (0.9565, 0.3507, 0.6934)  1 P 1.73
O (0.9565, 0.6058, 0.3066)  1 P 1.73



Question: Fermi-level density of states of number 3 (NaP2SO)?
Answer: 2.2 states/eV/f.u.